A relaxed structure of HfZrB2Pd, computed with GGA-PBE.

Results
Space group: No. 123
Calculated density, Mg/m³: 6.777
N(E_F), states/eV per cell: 4.573
ΔH_f (0 K), meV/atom: 1634.5
Raw total energy, eV per cell: -28.88
Magnetic moment, μB per formula unit: 0.00

Unit cell a=4.336 b=4.336 c=5.184 alpha=90.00 beta=90.00 gamma=90.00
Positions (direct):
Hf 0.000 0.000 0.000
Zr 0.000 0.000 0.500
B 0.000 0.500 0.500
B 0.500 0.000 0.500
Pd 0.500 0.500 0.000